(1)
Density functional theory data (PBE-GGA) for a geometry-optimized SmZrGe2 structure.

## Properties
VASP energy, eV per atom: -6.35
D(E_F), states/eV/cell: 6.996
Total moment, μB/f.u.: 0.00

a b c (Å): 4.0002 4.0002 20.3129
angles (deg): 90.00 90.00 120.00
Space group R-3m (No. 166, hexagonal axes)
Asymmetric unit:
Sm1 0.0000 0.0000 0.0000 x3
Zr1 0.0000 0.0000 0.5000 x3
Ge1 0.0000 0.0000 0.2421 x6


(2)
Density functional theory data (PBE-GGA) for a geometry-optimized Sm3Zr2Ge3 structure.

## Properties
VASP energy, eV per atom: -6.35
D(E_F), states/eV/cell: 20.865
Total moment, μB/f.u.: 0.16

a b c (Å): 8.5678 8.5678 5.9783
angles (deg): 90.00 90.00 120.00
Space group P6_3/mcm (No. 193)
Asymmetric unit:
Sm1 0.0000 0.2487 0.2500 x6
Zr1 0.3333 0.6667 0.0000 x4
Ge1 0.0000 0.3992 0.7500 x6


(3)
Density functional theory data (PBE-GGA) for a geometry-optimized SnGe structure.

## Properties
VASP energy, eV per atom: -4.17
D(E_F), states/eV/cell: 1.286
Total moment, μB/f.u.: 0.00

a b c (Å): 4.400 13.398 6.737
angles (deg): 90.00 90.00 90.00
Space group Pmmn (No. 59, origin choice 2)
Asymmetric unit:
Sn1 0.250 0.103 0.116 x4
Sn2 0.250 0.750 0.386 x2
Ge1 0.250 0.250 0.387 x2
Ge2 0.250 0.601 0.119 x4


(4)
Density functional theory data (PBE-GGA) for a geometry-optimized SnGe structure.

## Properties
VASP energy, eV per atom: -4.03
D(E_F), states/eV/cell: 1.537
Total moment, μB/f.u.: 0.00

a b c (Å): 4.8269 4.8269 2.9237
angles (deg): 90.00 90.00 120.00
Space group P3m1 (No. 156)
Asymmetric unit:
Sn1 0.0000 0.0000 0.0000 x1
Ge1 0.3333 0.6667 0.0071 x1


(5)
Density functional theory data (PBE-GGA) for a geometry-optimized SnGe3 structure.

## Properties
VASP energy, eV per atom: -4.19
D(E_F), states/eV/cell: 2.332
Total moment, μB/f.u.: 0.00

a b c (Å): 4.612 4.612 8.046
angles (deg): 90.00 90.00 90.00
Space group I4/mmm (No. 139)
Asymmetric unit:
Sn1 0.000 0.000 0.000 x2
Ge1 0.000 0.000 0.500 x2
Ge2 0.000 0.500 0.250 x4


(6)
Density functional theory data (PBE-GGA) for a geometry-optimized SnGe structure.

## Properties
VASP energy, eV per atom: -4.29
D(E_F), states/eV/cell: 0.993
Total moment, μB/f.u.: 0.00

a b c (Å): 6.206 6.206 6.206
angles (deg): 90.00 90.00 90.00
Space group F-43m (No. 216)
Asymmetric unit:
Sn1 0.000 0.000 0.000 x4
Ge1 0.250 0.250 0.250 x4